# 1
# Ta4Mo2Rh | Alexandria | GGA-PBE | relaxed
data_Ta4Mo2Rh
_cell_length_a 5.4962
_cell_length_b 5.4962
_cell_length_c 5.4962
_cell_angle_alpha 108.57
_cell_angle_beta 109.93
_cell_angle_gamma 109.93
_space_group_name_H-M_alt 'P 1'
_space_group_IT_number 1
_space_group_name_Hall 'P 1'
loop_
_atom_site_label
_atom_site_type_symbol
_atom_site_fract_x
_atom_site_fract_y
_atom_site_fract_z
Rh1 Rh 0.0000 0.0000 0.0000
Mo1 Mo 0.5000 0.5000 0.0000
Mo2 Mo 0.5000 0.0000 0.5000
Ta1 Ta 0.0000 0.5000 0.0000
Ta2 Ta 0.0000 0.0000 0.5000
Ta3 Ta 0.5000 0.0000 0.0000
Ta4 Ta 0.5000 0.5000 0.5000
# - energy relative to the elements (meV/atom) = 45

# 2
# LiCuRu2 | Alexandria | GGA-PBE | relaxed
data_LiCuRu2
_cell_length_a 8.8966
_cell_length_b 8.8966
_cell_length_c 8.8966
_cell_angle_alpha 17.42
_cell_angle_beta 17.42
_cell_angle_gamma 17.42
_space_group_name_H-M_alt 'P 1'
_space_group_IT_number 1
_space_group_name_Hall 'P 1'
loop_
_atom_site_label
_atom_site_type_symbol
_atom_site_fract_x
_atom_site_fract_y
_atom_site_fract_z
Cu1 Cu 0.5007 0.5007 0.5007
Ru1 Ru 0.2506 0.2506 0.2506
Ru2 Ru 0.9970 0.9970 0.9970
Li1 Li 0.7517 0.7517 0.7517
# - energy relative to the elements (meV/atom) = 168

# 3
# TaTc | Alexandria | GGA-PBE | relaxed
data_TaTc
_cell_length_a 5.3213
_cell_length_b 5.3213
_cell_length_c 6.4255
_cell_angle_alpha 71.28
_cell_angle_beta 71.28
_cell_angle_gamma 34.88
_space_group_name_H-M_alt 'P 1'
_space_group_IT_number 1
_space_group_name_Hall 'P 1'
loop_
_atom_site_label
_atom_site_type_symbol
_atom_site_fract_x
_atom_site_fract_y
_atom_site_fract_z
Ta1 Ta 0.1665 0.1665 0.6819
Ta2 Ta 0.8335 0.8335 0.3181
Ta3 Ta 0.5000 0.5000 0.5000
Tc1 Tc 0.5000 0.5000 0.0000
Tc2 Tc 0.1678 0.1678 0.1725
Tc3 Tc 0.8322 0.8322 0.8275
# - energy relative to the elements (meV/atom) = -197